Entry from Alexandria via LeMat-Bulk: Th2NbN4 after structural relaxation (PBE).

Results
Its space group is P2_1/m. For the total magnetization, the calculation gives 0.0 μB/f.u. Its crystal system is monoclinic. For the total DFT energy (no corrections), the calculation gives -9.4482 eV/atom.

a b c (Å): 6.1158 6.1301 6.7908
angles (deg): 90.00 108.33 90.00
Fractional positions:
Nb 0.2081 0.7500 0.1840
Nb 0.7919 0.2500 0.8160
N 0.0002 0.7500 0.3509
N 0.9963 0.2500 0.1016
N 0.9998 0.2500 0.6491
N 0.4486 0.5111 0.2472
N 0.4486 0.9889 0.2472
N 0.5514 0.4889 0.7528
N 0.5514 0.0111 0.7528
N 0.0037 0.7500 0.8984
Th 0.3337 0.2500 0.9687
Th 0.7439 0.7500 0.5566
Th 0.2561 0.2500 0.4434
Th 0.6663 0.7500 0.0313